# Tb3Pm5 (PBE, relaxed)
# Density of states at the Fermi level: 13.12 states/eV/cell
# ΔH_f (0 K): 17.4 meV per atom
# Calculated density: 7.47 g/cm³
data_Tb3Pm5
_chemical_formula_sum 'Tb3 Pm5'
_symmetry_space_group_name_H-M 'P m m m'
_symmetry_Int_Tables_number 47
_symmetry_space_group_name_Hall '-P 2 2'
_cell_length_a 5.1023
_cell_length_b 5.1166
_cell_length_c 10.2311
_cell_angle_alpha 90.00
_cell_angle_beta 90.00
_cell_angle_gamma 90.00
loop_
_atom_site_label
_atom_site_type_symbol
_atom_site_fract_x
_atom_site_fract_y
_atom_site_fract_z
Tb1 Tb 0.0000 0.0000 0.0000
Tb2 Tb 0.0000 0.5000 0.2486
Pm1 Pm 0.0000 0.0000 0.5000
Pm2 Pm 0.5000 0.0000 0.2487
Pm3 Pm 0.5000 0.5000 0.0000
Pm4 Pm 0.5000 0.5000 0.5000